Record 1
HfZr2I: relaxed, PBE.

abc: 5.0608 5.0608 5.0608
angles: 60.00 60.00 60.00
Closest atoms and distances in Å follow each position.
Positions (direct):
Hf: 0.0000 0.0000 0.0000  8 Zr 3.10
Zr: 0.2500 0.2500 0.2500  4 I 3.10, 4 Hf 3.10
Zr: 0.7500 0.7500 0.7500  4 I 3.10, 4 Hf 3.10
I: 0.5000 0.5000 0.5000  8 Zr 3.10

Summary:
Total DFT energy (no corrections): -26.9 eV/cell
SG: Fm-3m, No. 225

***

Record 2
Nd4Pt2Au: relaxed, PBE.

abc: 8.1384 8.1384 8.1384
angles: 109.46 109.45 109.50
Closest atoms and distances in Å follow each position.
Positions (direct):
Nd: 0.2017 0.2635 0.5618  3 Pt 2.86-2.98, 1 Au 3.02
Nd: 0.2017 0.6399 0.9382  3 Pt 2.86-2.98, 1 Au 3.02
Nd: 0.2638 0.2019 0.0619  3 Pt 2.86-2.97, 1 Au 3.02
Nd: 0.3600 0.7981 0.5619  3 Pt 2.86-2.97, 1 Au 3.02
Nd: 0.6400 0.2019 0.4381  3 Pt 2.86-2.97, 1 Au 3.02
Nd: 0.7362 0.7981 0.9381  3 Pt 2.86-2.97, 1 Au 3.02
Nd: 0.7983 0.3601 0.0618  3 Pt 2.86-2.98, 1 Au 3.02
Nd: 0.7983 0.7365 0.4382  3 Pt 2.86-2.98, 1 Au 3.02
Pt: 0.0000 0.5000 0.5000  6 Nd 2.86-2.98
Pt: 0.5000 0.0000 0.0000  6 Nd 2.86-2.97
Pt: 0.5000 0.5000 0.0000  6 Nd 2.86-2.98
Pt: 0.5000 0.5000 0.5000  6 Nd 2.86-2.97
Au: 0.1247 0.8747 0.2500  4 Nd 3.02
Au: 0.8753 0.1253 0.7500  4 Nd 3.02

Summary:
ΔH_f (0 K): -792.3 meV/atom
SG: Imma, No. 74

***

Record 3
ZrPa2Ni2S6: relaxed, PBE.

abc: 6.8581 6.8581 5.3916
angles: 90.00 90.00 120.00
Closest atoms and distances in Å follow each position.
Positions (direct):
Zr: 0.0000 0.0000 0.0000  6 S 2.62
Pa: 0.3333 0.6667 0.3406  1 Ni 2.41
Pa: 0.6667 0.3333 0.6594  1 Ni 2.41
Ni: 0.3333 0.6667 0.8929  3 S 2.22, 1 Pa 2.41
Ni: 0.6667 0.3333 0.1071  3 S 2.22, 1 Pa 2.41
S: 0.0679 0.7225 0.7301  1 Ni 2.22
S: 0.2775 0.3454 0.7301  1 Ni 2.22
S: 0.3454 0.0679 0.2699  1 Ni 2.22
S: 0.6546 0.9321 0.7301  1 Ni 2.22
S: 0.7225 0.6546 0.2699  1 Ni 2.22
S: 0.9321 0.2775 0.2699  1 Ni 2.22

Summary:
Total DFT energy (no corrections): -75.3 eV/cell
SG: P-3, No. 147

***

Record 4
LiY2AlCu6: relaxed, PBE.

abc: 6.1226 6.1375 6.2088
angles: 60.88 61.85 60.65
Closest atoms and distances in Å follow each position.
Positions (direct):
Li: 0.0000 0.0000 0.0000  6 Cu 2.32-2.34
Y: 0.1978 0.2019 0.4044  7 Cu 2.94-3.29, 1 Li 3.08
Y: 0.8022 0.7981 0.5956  7 Cu 2.94-3.29, 1 Li 3.08
Al: 0.5000 0.5000 0.5000  6 Cu 2.45-2.47
Cu: 0.1579 0.3308 0.8805  1 Li 2.32, 1 Al 2.47, 5 Cu 2.52-2.57
Cu: 0.3260 0.6303 0.8827  1 Li 2.34, 1 Al 2.46, 5 Cu 2.52-2.56
Cu: 0.3745 0.8418 0.1134  1 Li 2.32, 1 Al 2.45, 5 Cu 2.52-2.56
Cu: 0.6255 0.1582 0.8866  1 Li 2.32, 1 Al 2.45, 5 Cu 2.52-2.56
Cu: 0.6740 0.3697 0.1173  1 Li 2.34, 1 Al 2.46, 5 Cu 2.52-2.56
Cu: 0.8421 0.6692 0.1195  1 Li 2.32, 1 Al 2.47, 5 Cu 2.52-2.57

Summary:
ΔH_f (0 K): -77.1 meV/atom
SG: P-1, No. 2